# 1
Material: Mg5Ag2HgRh2
Method: DFT, PBE
State: relaxed

D(E_F)	0.23	states/eV/atom
crystal system	tetragonal
E_tot	-3.06	eV per atom

```
data_Mg5Ag2HgRh2
_chemical_formula_sum 'Mg10 Ag4 Hg2 Rh4'
_symmetry_space_group_name_H-M 'P 4/m b m'
_symmetry_Int_Tables_number 127
_symmetry_space_group_name_Hall '-P 4 2ab'
_cell_length_a 10.446
_cell_length_b 10.446
_cell_length_c 3.541
_cell_angle_alpha 90.00
_cell_angle_beta 90.00
_cell_angle_gamma 90.00
loop_
_atom_site_label
_atom_site_fract_x
_atom_site_fract_y
_atom_site_fract_z
Mg1 0.000 0.500 0.000
Mg2 0.096 0.199 0.000
Ag1 0.167 0.667 0.500
Hg1 0.000 0.000 0.500
Rh1 0.125 0.375 0.500
```



# 2
Material: MgAgHgSb
Method: DFT, PBE
State: relaxed

D(E_F)	0.18	states/eV/atom
crystal system	cubic
E_tot	-2.28	eV per atom

```
data_MgAgHgSb
_chemical_formula_sum 'Mg4 Ag4 Hg4 Sb4'
_symmetry_space_group_name_H-M 'F -4 3 m'
_symmetry_Int_Tables_number 216
_symmetry_space_group_name_Hall 'F -4 2 3'
_cell_length_a 7.132
_cell_length_b 7.132
_cell_length_c 7.132
_cell_angle_alpha 90.00
_cell_angle_beta 90.00
_cell_angle_gamma 90.00
loop_
_atom_site_label
_atom_site_fract_x
_atom_site_fract_y
_atom_site_fract_z
Mg1 0.000 0.000 0.000
Ag1 0.000 0.000 0.500
Hg1 0.250 0.250 0.250
Sb1 0.250 0.250 0.750
```



# 3
Material: Mg2Ag7HgSb2
Method: DFT, PBE
State: relaxed

D(E_F)	0.29	states/eV/atom
crystal system	monoclinic
E_tot	-2.68	eV per atom

```
data_Mg2Ag7HgSb2
_chemical_formula_sum 'Mg4 Ag14 Hg2 Sb4'
_symmetry_space_group_name_H-M 'C 1 2/m 1'
_symmetry_Int_Tables_number 12
_cell_length_a 5.995
_cell_length_b 6.088
_cell_length_c 13.424
_cell_angle_alpha 90.00
_cell_angle_beta 90.18
_cell_angle_gamma 90.00
loop_
_symmetry_equiv_pos_as_xyz
'x,y,z'
'-x,-y,-z'
'-x,y,-z'
'x,-y,z'
'x+1/2,y+1/2,z'
'-x+1/2,-y+1/2,-z'
'-x+1/2,y+1/2,-z'
'x+1/2,-y+1/2,z'
loop_
_atom_site_label
_atom_site_fract_x
_atom_site_fract_y
_atom_site_fract_z
Mg1 0.000 0.000 0.184
Ag1 0.000 0.000 0.500
Ag2 0.240 0.000 0.000
Ag3 0.250 0.250 0.342
Hg1 0.000 0.500 0.500
Sb1 0.001 0.500 0.184
```



# 4
Material: MgScAgHg
Method: DFT, PBE
State: relaxed

D(E_F)	0.30	states/eV/atom
crystal system	cubic
E_tot	-3.12	eV per atom

```
data_MgScAgHg
_chemical_formula_sum 'Mg4 Sc4 Ag4 Hg4'
_symmetry_space_group_name_H-M 'F -4 3 m'
_symmetry_Int_Tables_number 216
_symmetry_space_group_name_Hall 'F -4 2 3'
_cell_length_a 6.844
_cell_length_b 6.844
_cell_length_c 6.844
_cell_angle_alpha 90.00
_cell_angle_beta 90.00
_cell_angle_gamma 90.00
loop_
_atom_site_label
_atom_site_fract_x
_atom_site_fract_y
_atom_site_fract_z
Mg1 0.000 0.000 0.000
Sc1 0.000 0.000 0.500
Ag1 0.250 0.250 0.750
Hg1 0.250 0.250 0.250
```



# 5
Material: SmMgAgHg
Method: DFT, PBE
State: relaxed

D(E_F)	0.43	states/eV/atom
crystal system	cubic
E_tot	-2.76	eV per atom

```
data_SmMgAgHg
_chemical_formula_sum 'Sm4 Mg4 Ag4 Hg4'
_symmetry_space_group_name_H-M 'F -4 3 m'
_symmetry_Int_Tables_number 216
_symmetry_space_group_name_Hall 'F -4 2 3'
_cell_length_a 7.171
_cell_length_b 7.171
_cell_length_c 7.171
_cell_angle_alpha 90.00
_cell_angle_beta 90.00
_cell_angle_gamma 90.00
loop_
_atom_site_label
_atom_site_fract_x
_atom_site_fract_y
_atom_site_fract_z
Sm1 0.000 0.000 0.000
Mg1 0.000 0.000 0.500
Ag1 0.250 0.250 0.250
Hg1 0.250 0.250 0.750
```



# 6
Material: MgAgSnHg
Method: DFT, PBE
State: relaxed

D(E_F)	0.39	states/eV/atom
crystal system	cubic
E_tot	-2.21	eV per atom

```
data_MgAgSnHg
_chemical_formula_sum 'Mg4 Ag4 Sn4 Hg4'
_symmetry_space_group_name_H-M 'F -4 3 m'
_symmetry_Int_Tables_number 216
_symmetry_space_group_name_Hall 'F -4 2 3'
_cell_length_a 7.082
_cell_length_b 7.082
_cell_length_c 7.082
_cell_angle_alpha 90.00
_cell_angle_beta 90.00
_cell_angle_gamma 90.00
loop_
_atom_site_label
_atom_site_fract_x
_atom_site_fract_y
_atom_site_fract_z
Mg1 0.000 0.000 0.000
Ag1 0.000 0.000 0.500
Sn1 0.250 0.250 0.250
Hg1 0.250 0.250 0.750
```



# 7
Material: Mg5AgSn2Hg2
Method: DFT, PBE
State: relaxed

D(E_F)	0.49	states/eV/atom
crystal system	tetragonal
E_tot	-2.05	eV per atom

```
data_Mg5AgSn2Hg2
_chemical_formula_sum 'Mg10 Ag2 Sn4 Hg4'
_symmetry_space_group_name_H-M 'P 4/m b m'
_symmetry_Int_Tables_number 127
_symmetry_space_group_name_Hall '-P 4 2ab'
_cell_length_a 11.523
_cell_length_b 11.523
_cell_length_c 3.483
_cell_angle_alpha 90.00
_cell_angle_beta 90.00
_cell_angle_gamma 90.00
loop_
_atom_site_label
_atom_site_fract_x
_atom_site_fract_y
_atom_site_fract_z
Mg1 0.000 0.500 0.000
Mg2 0.013 0.200 0.000
Ag1 0.000 0.000 0.500
Sn1 0.175 0.675 0.500
Hg1 0.141 0.359 0.500
```



# 8
Material: Mg2AgSnHg
Method: DFT, PBE
State: relaxed

D(E_F)	0.42	states/eV/atom
crystal system	monoclinic
E_tot	-2.19	eV per atom

```
data_Mg2AgSnHg
_chemical_formula_sum 'Mg4 Ag2 Sn2 Hg2'
_symmetry_space_group_name_H-M 'P 1 21/m 1'
_symmetry_Int_Tables_number 11
_cell_length_a 6.975
_cell_length_b 4.384
_cell_length_c 7.143
_cell_angle_alpha 90.00
_cell_angle_beta 94.44
_cell_angle_gamma 90.00
loop_
_symmetry_equiv_pos_as_xyz
'x,y,z'
'-x,-y,-z'
'-x,y+1/2,-z'
'x,-y+1/2,z'
loop_
_atom_site_label
_atom_site_fract_x
_atom_site_fract_y
_atom_site_fract_z
Mg1 0.038 0.250 0.327
Mg2 0.462 0.250 0.155
Ag1 0.168 0.750 0.055
Sn1 0.334 0.750 0.442
Hg1 0.233 0.250 0.781
```



# 9
Material: Sr2MgAg4Hg3
Method: DFT, PBE
State: relaxed

D(E_F)	0.51	states/eV/atom
crystal system	tetragonal
E_tot	-1.98	eV per atom

```
data_Sr2MgAg4Hg3
_chemical_formula_sum 'Sr2 Mg1 Ag4 Hg3'
_symmetry_space_group_name_H-M 'P -4 m 2'
_symmetry_Int_Tables_number 115
_cell_length_a 4.358
_cell_length_b 4.358
_cell_length_c 13.309
_cell_angle_alpha 90.00
_cell_angle_beta 90.00
_cell_angle_gamma 90.00
loop_
_symmetry_equiv_pos_as_xyz
'x,y,z'
'y,-x,-z'
'-x,-y,z'
'-y,x,-z'
'-x,y,z'
'-y,-x,-z'
'x,-y,z'
'y,x,-z'
loop_
_atom_site_label
_atom_site_fract_x
_atom_site_fract_y
_atom_site_fract_z
Sr1 0.000 0.500 0.249
Mg1 0.000 0.000 0.500
Ag1 0.000 0.000 0.000
Ag2 0.000 0.500 0.643
Ag3 0.500 0.500 0.000
Hg1 0.000 0.500 0.856
Hg2 0.500 0.500 0.500
```



# 10
Material: Sr3Mg2Ag2Hg4
Method: DFT, PBE
State: relaxed

D(E_F)	0.61	states/eV/atom
crystal system	trigonal
E_tot	-1.70	eV per atom

```
data_Sr3Mg2Ag2Hg4
_chemical_formula_sum 'Sr3 Mg2 Ag2 Hg4'
_symmetry_space_group_name_H-M 'P -3 m 1'
_symmetry_Int_Tables_number 164
_symmetry_space_group_name_Hall '-P 3 2"'
_cell_length_a 4.9543
_cell_length_b 4.9543
_cell_length_c 15.0396
_cell_angle_alpha 90.00
_cell_angle_beta 90.00
_cell_angle_gamma 120.00
loop_
_atom_site_label
_atom_site_fract_x
_atom_site_fract_y
_atom_site_fract_z
Sr1 0.0000 0.0000 0.0000
Sr2 0.0000 0.0000 0.2656
Mg1 0.3333 0.6667 0.5683
Ag1 0.3333 0.6667 0.1389
Hg1 0.3333 0.6667 0.3802
Hg2 0.3333 0.6667 0.8672
```



# 11
Material: SrMg2Ag2Hg
Method: DFT, PBE
State: relaxed

D(E_F)	0.62	states/eV/atom
crystal system	tetragonal
E_tot	-1.86	eV per atom

```
data_SrMg2Ag2Hg
_chemical_formula_sum 'Sr1 Mg2 Ag2 Hg1'
_symmetry_space_group_name_H-M 'P 4/m m m'
_symmetry_Int_Tables_number 123
_symmetry_space_group_name_Hall '-P 4 2'
_cell_length_a 5.186
_cell_length_b 5.186
_cell_length_c 6.174
_cell_angle_alpha 90.00
_cell_angle_beta 90.00
_cell_angle_gamma 90.00
loop_
_atom_site_label
_atom_site_fract_x
_atom_site_fract_y
_atom_site_fract_z
Sr1 0.000 0.000 0.000
Mg1 0.000 0.500 0.500
Ag1 0.500 0.500 0.235
Hg1 0.000 0.000 0.500
```



# 12
Material: SrMgAg2Hg4
Method: DFT, PBE
State: relaxed

D(E_F)	0.48	states/eV/atom
crystal system	trigonal
E_tot	-1.47	eV per atom

```
data_SrMgAg2Hg4
_chemical_formula_sum 'Sr3 Mg3 Ag6 Hg12'
_symmetry_space_group_name_H-M 'R -3 m'
_symmetry_Int_Tables_number 166
_symmetry_space_group_name_Hall '-R 3 2"'
_cell_length_a 4.9130
_cell_length_b 4.9130
_cell_length_c 27.3609
_cell_angle_alpha 90.00
_cell_angle_beta 90.00
_cell_angle_gamma 120.00
loop_
_atom_site_label
_atom_site_fract_x
_atom_site_fract_y
_atom_site_fract_z
Sr1 0.0000 0.0000 0.0000
Mg1 0.0000 0.0000 0.5000
Ag1 0.0000 0.0000 0.2394
Hg1 0.0000 0.0000 0.1275
Hg2 0.0000 0.0000 0.3920
```